1.
Material: Na3In6SnHg2
Method: DFT, PBE-GGA
State: relaxed Values from VASP.

Results
uncorrected energy: -25.51 eV per cell
energy of formation: -4.2 kJ per mole of atoms

Cell and atoms, written as Quantum ESPRESSO input:
```
&SYSTEM
  ibrav = 0, nat = 12, ntyp = 4
/
ATOMIC_SPECIES
Na 22.99 Na.upf
In 114.82 In.upf
Sn 118.71 Sn.upf
Hg 200.59 Hg.upf
ATOMIC_POSITIONS angstrom
Na 0.0000 3.5739 5.8929
Na 3.0951 1.7870 4.4177
Na 0.0000 0.0000 0.0000
In 1.5127 4.4473 2.6108
In 0.0000 1.8272 2.6108
In -1.5127 4.4473 2.6108
In 3.0951 3.5337 7.6998
In 1.5824 0.9136 7.6998
In 4.6079 0.9136 7.6998
Sn 0.0000 0.0000 5.1553
Hg 3.0951 1.7870 0.6558
Hg 0.0000 3.5739 9.6548
CELL_PARAMETERS angstrom
6.1903 0.0000 0.0000
-3.0951 5.3609 0.0000
0.0000 0.0000 10.3106
```


2.
Material: NaInSnHg
Method: DFT, PBE-GGA
State: relaxed Values from VASP.

Results
uncorrected energy: -8.42 eV per cell
energy of formation: -1.5 kJ per mole of atoms

Cell and atoms, written as Quantum ESPRESSO input:
```
&SYSTEM
  ibrav = 0, nat = 4, ntyp = 4
/
ATOMIC_SPECIES
Na 22.99 Na.upf
In 114.82 In.upf
Sn 118.71 Sn.upf
Hg 200.59 Hg.upf
ATOMIC_POSITIONS angstrom
Na -4.3600 -2.3391 0.4231
In -0.0795 -0.1076 0.0813
Sn -3.0603 -4.1415 3.1304
Hg -1.5076 -2.0402 1.5421
CELL_PARAMETERS angstrom
-3.2321 2.4882 0.1323
-1.3834 -1.6117 -3.4848
-1.2927 -5.3108 5.3592
```


3.
Material: NaSrIn2Hg2
Method: DFT, PBE-GGA
State: relaxed Values from VASP.

Results
uncorrected energy: -11.01 eV per cell
energy of formation: -30.9 kJ per mole of atoms

Cell and atoms, written as Quantum ESPRESSO input:
```
&SYSTEM
  ibrav = 0, nat = 6, ntyp = 4
/
ATOMIC_SPECIES
Na 22.99 Na.upf
Sr 87.62 Sr.upf
In 114.82 In.upf
Hg 200.59 Hg.upf
ATOMIC_POSITIONS angstrom
Na -1.3714 -0.6258 3.4332
Sr 0.0000 0.0000 0.0000
In -4.2055 -2.3615 3.7545
In -0.5695 -3.2335 1.5085
Hg -2.9715 -1.7985 0.6654
Hg -1.8035 -3.7966 4.5977
CELL_PARAMETERS angstrom
-4.6920 -0.0524 -1.8838
2.6598 -4.2910 0.2803
-2.7429 -1.2516 6.8665
```


4.
Material: NaSrIn2Hg4
Method: DFT, PBE-GGA
State: relaxed Values from VASP.

Results
uncorrected energy: -12.00 eV per cell
energy of formation: -28.0 kJ per mole of atoms

Cell and atoms, written as Quantum ESPRESSO input:
```
&SYSTEM
  ibrav = 0, nat = 8, ntyp = 4
/
ATOMIC_SPECIES
Na 22.99 Na.upf
Sr 87.62 Sr.upf
In 114.82 In.upf
Hg 200.59 Hg.upf
ATOMIC_POSITIONS angstrom
Na 5.2808 3.0489 4.3525
Sr 0.0000 0.0000 0.0000
In 7.9212 4.5733 6.5918
In 2.6404 1.5244 2.1132
Hg 5.2808 3.0489 7.4143
Hg 7.9212 4.5733 3.4360
Hg 2.6404 1.5244 5.2689
Hg 5.2808 3.0489 1.2907
CELL_PARAMETERS angstrom
5.2808 0.0000 0.0000
2.6404 4.5733 0.0000
2.6404 1.5244 8.7050
```


5.
Material: Na2Sr3In2Hg4
Method: DFT, PBE-GGA
State: relaxed Values from VASP.

Results
uncorrected energy: -18.42 eV per cell
energy of formation: -35.6 kJ per mole of atoms

Cell and atoms, written as Quantum ESPRESSO input:
```
&SYSTEM
  ibrav = 0, nat = 11, ntyp = 4
/
ATOMIC_SPECIES
Na 22.99 Na.upf
Sr 87.62 Sr.upf
In 114.82 In.upf
Hg 200.59 Hg.upf
ATOMIC_POSITIONS angstrom
Na -1.0625 6.1219 4.1763
Na -1.0896 5.2712 7.5753
Sr 2.0734 7.6572 8.5543
Sr 0.0000 0.0000 0.0000
Sr 0.7189 2.6551 2.9662
In 0.1303 10.5270 9.0975
In -2.2824 0.8660 2.6540
Hg -1.9464 2.8576 0.5296
Hg -0.2057 8.5355 11.2220
Hg -0.4946 8.2189 6.5190
Hg -1.6574 3.1741 5.2325
CELL_PARAMETERS angstrom
-1.9173 3.7156 -2.8612
-3.0271 -2.6349 3.0923
2.7923 10.3123 11.5205
```


6.
Material: NaSr4In2Hg
Method: DFT, PBE-GGA
State: relaxed Values from VASP.

Results
uncorrected energy: -16.77 eV per cell
energy of formation: -35.5 kJ per mole of atoms

Cell and atoms, written as Quantum ESPRESSO input:
```
&SYSTEM
  ibrav = 0, nat = 8, ntyp = 4
/
ATOMIC_SPECIES
Na 22.99 Na.upf
Sr 87.62 Sr.upf
In 114.82 In.upf
Hg 200.59 Hg.upf
ATOMIC_POSITIONS angstrom
Na 0.0000 0.0000 0.0000
Sr -7.7361 6.9689 -1.8483
Sr -7.6379 3.9058 -6.4952
Sr -4.6697 4.8079 -0.1717
Sr -4.5716 1.7448 -4.8186
In -9.2978 6.6460 -4.9372
In -3.0098 2.0677 -1.7297
Hg -6.1538 4.3568 -3.3334
CELL_PARAMETERS angstrom
-1.0164 2.3591 -5.2322
-4.8871 -1.3166 -2.8909
-6.4041 7.6712 1.4563
```


7.
Material: Na2SrIn2Hg2
Method: DFT, PBE-GGA
State: relaxed Values from VASP.

Results
uncorrected energy: -12.35 eV per cell
energy of formation: -26.8 kJ per mole of atoms

Cell and atoms, written as Quantum ESPRESSO input:
```
&SYSTEM
  ibrav = 0, nat = 7, ntyp = 4
/
ATOMIC_SPECIES
Na 22.99 Na.upf
Sr 87.62 Sr.upf
In 114.82 In.upf
Hg 200.59 Hg.upf
ATOMIC_POSITIONS angstrom
Na -5.2628 1.0342 2.9742
Na -9.1532 -2.7707 0.0820
Sr 0.0000 0.0000 0.0000
In -10.9846 -1.1496 2.5221
In -3.4314 -0.5869 0.5341
Hg -5.8166 -2.0998 -0.3257
Hg -8.5994 0.3634 3.3819
CELL_PARAMETERS angstrom
-4.1958 -0.3786 -2.8976
-3.0438 -4.0859 0.4300
-7.1764 2.7281 5.5238
```


8.
Material: NaTbInHg
Method: DFT, PBE-GGA
State: relaxed Values from VASP.

Results
uncorrected energy: -10.18 eV per cell
energy of formation: -28.6 kJ per mole of atoms

Cell and atoms, written as Quantum ESPRESSO input:
```
&SYSTEM
  ibrav = 0, nat = 4, ntyp = 4
/
ATOMIC_SPECIES
Na 22.99 Na.upf
Tb 158.93 Tb.upf
In 114.82 In.upf
Hg 200.59 Hg.upf
ATOMIC_POSITIONS angstrom
Na 0.0000 0.0000 6.5444
Tb 0.0000 0.0000 2.8041
In 1.8454 1.8454 0.8407
Hg 1.8454 1.8454 4.6592
CELL_PARAMETERS angstrom
3.6907 0.0000 0.0000
0.0000 3.6907 0.0000
0.0000 0.0000 7.7016
```


9.
Material: NaTbInHg
Method: DFT, PBE-GGA
State: relaxed Values from VASP.

Results
uncorrected energy: -10.23 eV per cell
energy of formation: -29.9 kJ per mole of atoms

Cell and atoms, written as Quantum ESPRESSO input:
```
&SYSTEM
  ibrav = 0, nat = 4, ntyp = 4
/
ATOMIC_SPECIES
Na 22.99 Na.upf
Tb 158.93 Tb.upf
Hg 200.59 Hg.upf
In 114.82 In.upf
ATOMIC_POSITIONS angstrom
Na 4.6029 -3.0204 7.8962
Tb 1.5343 -1.0068 2.6321
Hg 3.0686 -2.0136 5.2641
In 0.0000 0.0000 0.0000
CELL_PARAMETERS angstrom
-0.2665 -0.4005 5.2176
2.0685 -4.1634 2.4171
4.3352 0.5366 2.8936
```


10.
Material: NaInHgTe
Method: DFT, PBE-GGA
State: relaxed Values from VASP.

Results
uncorrected energy: -8.71 eV per cell
formation energy from raw total energies: -1.209 eV/f.u.

Cell and atoms, written as Quantum ESPRESSO input:
```
&SYSTEM
  ibrav = 0, nat = 4, ntyp = 4
/
ATOMIC_SPECIES
Na 22.99 Na.upf
In 114.82 In.upf
Hg 200.59 Hg.upf
Te 127.60 Te.upf
ATOMIC_POSITIONS angstrom
Na 2.1956 1.8746 2.1715
In 0.3231 7.5136 4.2456
Hg -0.0085 4.6387 2.8936
Te 3.6877 0.9107 -0.3823
CELL_PARAMETERS angstrom
-0.8829 -1.7456 3.9551
4.1624 0.1901 -1.4519
0.1804 9.4274 1.7387
```


11.
Material: NaInHgTe
Method: DFT, PBE-GGA
State: relaxed Values from VASP.

Results
uncorrected energy: -8.98 eV per cell
formation energy from raw total energies: -1.482 eV/f.u.

Cell and atoms, written as Quantum ESPRESSO input:
```
&SYSTEM
  ibrav = 0, nat = 4, ntyp = 4
/
ATOMIC_SPECIES
Na 22.99 Na.upf
Te 127.60 Te.upf
Hg 200.59 Hg.upf
In 114.82 In.upf
ATOMIC_POSITIONS angstrom
Na 0.0000 0.0000 0.0000
Te 2.7569 1.5917 1.1255
Hg 8.2706 4.7750 3.3764
In 5.5137 3.1833 2.2510
CELL_PARAMETERS angstrom
5.5137 0.0000 0.0000
2.7569 4.7750 0.0000
2.7569 1.5917 4.5019
```


12.
Material: NaThInHg
Method: DFT, PBE-GGA
State: relaxed Values from VASP.

Results
uncorrected energy: -12.41 eV per cell
energy of formation: -15.1 kJ per mole of atoms

Cell and atoms, written as Quantum ESPRESSO input:
```
&SYSTEM
  ibrav = 0, nat = 4, ntyp = 4
/
ATOMIC_SPECIES
Na 22.99 Na.upf
Hg 200.59 Hg.upf
Th 232.04 Th.upf
In 114.82 In.upf
ATOMIC_POSITIONS angstrom
Na 2.6740 1.5439 1.0917
Hg 5.3481 3.0877 2.1833
Th 8.0221 4.6316 3.2750
In 0.0000 0.0000 0.0000
CELL_PARAMETERS angstrom
5.3481 0.0000 0.0000
2.6740 4.6316 0.0000
2.6740 1.5439 4.3667
```